Record 1
TiIn2Tc | GGA-PBE | optimized geometry

As for the density of states at the Fermi level: 5.069 states/eV/cell. The calculated formation energy is 190.1 kJ/mol of formula units. The calculation puts the total moment at 1.03 μB per formula unit. The calculation puts the energy above the lowest structure with this stoichiometry at 0.385 eV per atom.

The space group is I-42d (No. 122) and the conventional cell measures 7.583, 7.583 and 5.643 Å, with angles of 90.00, 90.00 and 90.00 degrees. The inequivalent atoms are Ti at (0.000, 0.000, 0.000), In at (0.240, 0.250, 0.625) and Tc at (0.000, 0.000, 0.500).

Record 2
Nd6HgPb | GGA-PBE | optimized geometry

As for the density of states at the Fermi level: 13.466 states/eV/cell. The calculated formation energy is -195.6 kJ/mol of formula units. The calculation puts the total moment at 0.01 μB per formula unit.

The space group is P4/mmm (No. 123) and the conventional cell measures 4.990, 4.990 and 9.896 Å, with angles of 90.00, 90.00 and 90.00 degrees. The inequivalent atoms are Nd at (0.000, 0.000, 0.000), Nd at (0.000, 0.000, 0.500), Nd at (0.000, 0.500, 0.248), Hg at (0.500, 0.500, 0.000) and Pb at (0.500, 0.500, 0.500).

Record 3
Rb2TlReF8 | GGA-PBE | optimized geometry

As for the density of states at the Fermi level: 8.403 states/eV/cell. The calculation puts the total moment at 2.00 μB per formula unit. The value obtained for the uncorrected formation energy is -2.197 eV per atom.

The space group is P-3m1 (No. 164) and the conventional cell measures 5.2808, 5.2808 and 9.7762 Å, with angles of 90.00, 90.00 and 120.00 degrees. The inequivalent atoms are Rb at (0.3333, 0.6667, 0.2134), Tl at (0.0000, 0.0000, 0.0000), Re at (0.0000, 0.0000, 0.5000), F at (0.1648, 0.3296, 0.6208) and F at (0.3333, 0.6667, 0.9352).